First-principles (GGA-PBE) data for an optimized crystal structure of RbTiInO4, as listed in Alexandria.

Output
Calculated total energy: -92.67 eV/cell
Total magnetization: 0.000 μB/atom
Volume: 17.40 Å³ per atom
E_form (uncorrected): -1438 kJ/mol of formula units

Cell lengths 5.6527, 5.9272, 7.4290 Å; angles 90.00, 101.87, 90.00 degrees
Space group P2_1/m (No. 11)
One atom of each set of equivalent atoms:
Rb (0.1391, 0.2500, 0.0954) [2 per cell]
Ti (0.3853, 0.2500, 0.6552) [2 per cell]
In (0.1566, 0.7500, 0.4679) [2 per cell]
O (0.1590, 0.0186, 0.6701) [4 per cell]
O (0.3026, 0.7500, 0.2113) [2 per cell]
O (0.4380, 0.2500, 0.4275) [2 per cell]